This record from the Alexandria database describes a geometry-optimized V2TcPd2 structure. The functional is PBE.

The structure in extended XYZ format:
```
10
Lattice="3.5998 0.0000 0.0000 0.0000 3.5998 0.0000 0.0000 0.0000 11.9929" Properties=species:S:1:pos:R:3 pbc="T T T"
V 0.0000 0.0000 1.1089
V 0.0000 0.0000 10.8840
V 1.7999 1.7999 4.8875
V 1.7999 1.7999 7.1053
Tc 0.0000 0.0000 5.9964
Tc 1.7999 1.7999 0.0000
Pd 0.0000 1.7999 2.9982
Pd 0.0000 1.7999 8.9947
Pd 1.7999 0.0000 2.9982
Pd 1.7999 0.0000 8.9947
```

The total energy is -0.2754 Ha/atom.